# 1
The following is a DFT calculation (PBE) of a relaxed Np2In9Pb crystal.

Lattice parameters (Å, degrees): 4.690 4.690 14.207 90.00 90.00 90.00
Positions (direct):
In (0.500, 0.000, 0.826)
In (0.500, 0.500, 0.340)
In (0.000, 0.500, 0.826)
In (0.000, 0.500, 0.500)
In (0.500, 0.000, 0.500)
In (0.500, 0.000, 0.174)
Pb (0.000, 0.000, 0.000)
In (0.500, 0.500, 0.660)
In (0.500, 0.500, 0.000)
Np (0.000, 0.000, 0.664)
Np (0.000, 0.000, 0.336)
In (0.000, 0.500, 0.174)

Calculated values
The total magnetization is 8.92 μB/f.u. Its total energy is -0.165 hartree per atom. The space group is P4/mmm, No. 123. Its formation energy is 0.5 eV/f.u. Its crystal system is tetragonal.


# 2
The following is a DFT calculation (PBE) of a relaxed MgSb3Pb crystal.

Lattice parameters (Å, degrees): 5.789 5.789 5.789 90.00 90.00 90.00
Positions (direct):
Mg (0.500, 0.500, 0.500)
Pb (0.000, 0.000, 0.000)
Sb (0.000, 0.000, 0.500)
Sb (0.000, 0.500, 0.000)
Sb (0.500, 0.000, 0.000)

Calculated values
The total magnetization is 0.00 μB/f.u. Its total energy is -0.098 hartree per atom. The value obtained for the distance to the lowest polymorph of the same formula is 2.26 eV/f.u. The space group is Pm-3m, No. 221. The calculation puts the uncorrected formation energy at 0.870 eV per atom. Its crystal system is cubic.


# 3
The following is a DFT calculation (PBE) of a relaxed VMo2S4 crystal.

Lattice parameters (Å, degrees): 6.585 6.585 6.047 66.53 66.53 28.27
Positions (direct):
S (0.364, 0.364, 0.972)
S (0.636, 0.636, 0.028)
V (0.000, 0.000, 0.000)
Mo (0.259, 0.259, 0.684)
S (0.896, 0.896, 0.439)
S (0.104, 0.104, 0.561)
Mo (0.741, 0.741, 0.316)

Calculated values
The total magnetization is 1.96 μB/f.u. Its total energy is -0.276 hartree per atom. The space group is C2/m, No. 12. The calculation puts the uncorrected formation energy at -0.758 eV per atom. Its crystal system is monoclinic.


# 4
The following is a DFT calculation (PBE) of a relaxed BaMgSiS4 crystal.

Lattice parameters (Å, degrees): 6.122 6.880 8.421 90.00 106.01 90.00
Positions (direct):
S (0.982, 0.987, 0.290)
Ba (0.245, 0.250, 0.065)
S (0.663, 0.250, 0.900)
S (0.534, 0.250, 0.453)
Mg (0.835, 0.750, 0.485)
Mg (0.165, 0.250, 0.515)
Ba (0.755, 0.750, 0.935)
Si (0.776, 0.250, 0.684)
S (0.466, 0.750, 0.547)
S (0.337, 0.750, 0.100)
S (0.982, 0.513, 0.290)
S (0.018, 0.013, 0.710)
S (0.018, 0.487, 0.710)
Si (0.224, 0.750, 0.316)

Calculated values
The total magnetization is 0.00 μB/f.u. Its total energy is -0.182 hartree per atom. The space group is P2_1/m, No. 11. The calculation puts the uncorrected formation energy at -1.309 eV per atom. Its crystal system is monoclinic.